Entry 1:
DFT (PBE) results for NdPuAlZn after structural relaxation.

Cell: 5.1782 5.1782 5.1782 Å, 60.00 60.00 60.00°
Positions (direct):
Nd: 0.0000 0.0000 0.0000
Pu: 0.5000 0.5000 0.5000
Al: 0.2500 0.2500 0.2500
Zn: 0.7500 0.7500 0.7500

Results
space group	F-43m
DOS at the Fermi energy	7.99	states/eV per cell
formation energy	-0.155	eV/atom

---

Entry 2:
DFT (PBE) results for Rb3Nd3AlS8 after structural relaxation.

Cell: 8.1543 8.1543 9.1683 Å, 116.45 116.45 59.95°
Positions (direct):
Rb: 0.0000 0.0000 0.0000
Rb: 0.0000 0.5000 0.0000
Rb: 0.5000 0.0000 0.0000
Nd: 0.0000 0.5000 0.5000
Nd: 0.5000 0.0000 0.5000
Nd: 0.5000 0.5000 0.5000
Al: 0.0000 0.0000 0.5000
S: 0.2077 0.2077 0.6785
S: 0.2078 0.7631 0.6786
S: 0.2369 0.7922 0.3214
S: 0.2670 0.2670 0.3010
S: 0.7330 0.7330 0.6990
S: 0.7631 0.2078 0.6786
S: 0.7922 0.2369 0.3214
S: 0.7923 0.7923 0.3215

Results
E_form (uncorrected)	-1.5067	eV/atom
space group	C2/m
DOS at the Fermi energy	15.24	states/eV per cell

---

Entry 3:
DFT (PBE) results for Rb4Nd3AlTe8 after structural relaxation.

Cell: 10.0555 10.0555 10.0555 Å, 54.05 54.05 54.05°
Positions (direct):
Rb: 0.0000 0.0000 0.0000
Rb: 0.0000 0.5000 0.5000
Rb: 0.5000 0.0000 0.5000
Rb: 0.5000 0.5000 0.0000
Nd: 0.0000 0.0000 0.5000
Nd: 0.0000 0.5000 0.0000
Nd: 0.5000 0.0000 0.0000
Al: 0.5000 0.5000 0.5000
Te: 0.2359 0.2359 0.2359
Te: 0.2569 0.7182 0.7182
Te: 0.2818 0.2818 0.7431
Te: 0.2818 0.7431 0.2818
Te: 0.7182 0.2569 0.7182
Te: 0.7182 0.7182 0.2569
Te: 0.7431 0.2818 0.2818
Te: 0.7641 0.7641 0.7641

Results
E_form (uncorrected)	-1.1743	eV/atom
space group	R-3m
DOS at the Fermi energy	1.01	states/eV per cell